DFT (PBE-GGA) results for a geometry-optimized PmEr2Tm8 structure.

Summary:
The calculation puts the formation energy at 0.104 eV/atom. The raw total energy comes out at -48.5 eV/f.u. The calculation puts the magnetic moment at 0.00 Bohr magnetons per cell. The value obtained for the volume is 680.6 Å³/cell.

a = 17.170 Å, b = 5.368 Å, c = 8.242 Å
α = 90.00°, β = 116.38°, γ = 90.00°
Space group C2/m (No. 12)
Symmetry-distinct sites (fractional):
1 Pm 0.000 0.000 0.000 x2
2 Er 0.202 0.500 0.658 x4
3 Tm 0.019 0.500 0.722 x4
4 Tm 0.118 0.000 0.443 x4
5 Tm 0.160 0.500 0.198 x4
6 Tm 0.166 0.000 0.893 x4